(1)
This record from Alexandria describes a geometry-optimized PmV2CuO8 structure. The functional is PBE+U.

Cell and atoms, written as POSCAR:
```
PmV2CuO8
1.0
5.801 0.000 0.000
-2.901 5.024 0.000
0.000 0.000 5.946
O V Cu Pm
8 2 1 1
Direct
0.333 0.667 0.352
0.162 0.838 0.715
0.676 0.838 0.715
0.838 0.162 0.285
0.838 0.676 0.285
0.667 0.333 0.648
0.324 0.162 0.285
0.162 0.324 0.715
0.333 0.667 0.627
0.667 0.333 0.373
0.000 0.000 0.500
0.000 0.000 0.000
```

Results
Theoretical density = 4.20 Mg/m³
E = -7.071 eV/atom
Space-group type = No. 164

***

(2)
This record from Alexandria describes a geometry-optimized PmVCuO5 structure. The functional is PBE+U.

Cell and atoms, written as POSCAR:
```
PmVCuO5
1.0
-5.291 2.974 -0.043
-0.913 -1.487 -5.813
-0.343 -6.983 5.138
O V Cu Pm
10 2 2 2
Direct
0.750 0.269 0.416
0.250 0.731 0.584
0.731 0.250 0.084
0.331 0.306 0.665
0.306 0.331 0.165
0.694 0.669 0.835
0.891 0.109 0.750
0.109 0.891 0.250
0.269 0.750 0.916
0.669 0.694 0.335
0.375 0.625 0.750
0.625 0.375 0.250
0.681 0.319 0.750
0.319 0.681 0.250
0.000 0.000 0.500
0.000 0.000 0.000
```

Results
Theoretical density = 4.10 Mg/m³
E = -7.142 eV/atom
Space-group type = No. 15

***

Question: The lowest theoretical density belongs to which entry?
Answer: PmVCuO5

***

Question: What is the theoretical density in the second record?
Answer: 4.10 Mg/m³

***

Question: What is the theoretical density in the first record?
Answer: 4.20 Mg/m³

***

Question: What is the formula in the second record?
Answer: PmVCuO5